An optimized crystal structure of LiInMo2O8. Source: the Alexandria database, functional PBE+U.

Computed properties:
Spin magnetization ... 0.0 μB per formula unit
Electronic total energy ... -6.553 eV/atom
Symmetry ... C2/c (15)
Calculated volume ... 12.00 Å³ per atom

Structure (CIF):
```
data_LiInMo2O8
_chemical_formula_sum 'Li2 In2 Mo4 O16'
_space_group_name_H-M_alt 'P 1'
_space_group_IT_number 1
_cell_length_a 7.591
_cell_length_b 7.591
_cell_length_c 5.093
_cell_angle_alpha 91.05
_cell_angle_beta 91.05
_cell_angle_gamma 100.92
loop_
_space_group_symop_operation_xyz
'x,y,z'
loop_
_atom_site_label
_atom_site_type_symbol
_atom_site_fract_x
_atom_site_fract_y
_atom_site_fract_z
Li1 Li 0.084 0.916 0.750
Li2 Li 0.916 0.084 0.250
In1 In 0.408 0.592 0.250
In2 In 0.592 0.408 0.750
Mo1 Mo 0.073 0.391 0.751
Mo2 Mo 0.391 0.073 0.251
Mo3 Mo 0.609 0.927 0.749
Mo4 Mo 0.927 0.609 0.249
O1 O 0.055 0.668 0.955
O2 O 0.064 0.183 0.595
O3 O 0.153 0.553 0.432
O4 O 0.183 0.064 0.095
O5 O 0.313 0.442 0.890
O6 O 0.332 0.945 0.545
O7 O 0.442 0.313 0.390
O8 O 0.447 0.847 0.068
O9 O 0.553 0.153 0.932
O10 O 0.558 0.687 0.610
O11 O 0.668 0.055 0.455
O12 O 0.687 0.558 0.110
O13 O 0.817 0.936 0.905
O14 O 0.847 0.447 0.568
O15 O 0.936 0.817 0.405
O16 O 0.945 0.332 0.045
```